(1)
First-principles (SCAN) data for Ca3ReB at its PBEsol-relaxed geometry, as listed in Alexandria via LeMat-Bulk.

Lattice parameters (Å, degrees): 5.312 5.312 5.312 90.00 90.00 90.00
Space group Pm-3m (No. 221)
One atom of each set of equivalent atoms:
1 Ca 0.000 0.000 0.500 [3 per cell]
2 Re 0.000 0.000 0.000 [1 per cell]
3 B 0.500 0.500 0.500 [1 per cell]

Calculated values
VASP energy   -19.93 eV/atom
Spin magnetization   0.000 μB/atom
D(E_F)   3.855 states/eV/cell
Theoretical density   3514 kg/m3

=====

(2)
First-principles (SCAN) data for CaReB2 at its PBEsol-relaxed geometry, as listed in Alexandria via LeMat-Bulk.

Lattice parameters (Å, degrees): 4.467 4.467 13.670 90.00 90.00 90.00
Space group I4_1/amd (No. 141, origin choice 2)
One atom of each set of equivalent atoms:
1 Ca 0.000 0.250 0.375 [4 per cell]
2 Re 0.000 0.250 0.875 [4 per cell]
3 B 0.000 0.000 0.000 [8 per cell]

Calculated values
VASP energy   -23.61 eV/atom
Spin magnetization   0.000 μB/atom
D(E_F)   10.160 states/eV/cell
Theoretical density   6037 kg/m3

=====

(3)
First-principles (SCAN) data for CaTlRe2B at its PBEsol-relaxed geometry, as listed in Alexandria via LeMat-Bulk.

Lattice parameters (Å, degrees): 4.189 4.189 4.771 90.00 90.00 90.00
Space group P4/mmm (No. 123)
One atom of each set of equivalent atoms:
1 Ca 0.000 0.000 0.000 [1 per cell]
2 Tl 0.500 0.500 0.000 [1 per cell]
3 Re 0.000 0.500 0.500 [2 per cell]
4 B 0.000 0.000 0.500 [1 per cell]

Calculated values
VASP energy   -45.82 eV/atom
Spin magnetization   0.000 μB/atom
D(E_F)   2.704 states/eV/cell
Theoretical density   12448 kg/m3

=====

(4)
First-principles (SCAN) data for Ca2B4Rh5 at its PBEsol-relaxed geometry, as listed in Alexandria via LeMat-Bulk.

Lattice parameters (Å, degrees): 5.437 9.712 11.128 90.00 90.00 90.00
Space group Fmmm (No. 69)
One atom of each set of equivalent atoms:
1 Ca 0.000 0.000 0.142 [8 per cell]
2 B 0.000 0.160 0.369 [16 per cell]
3 Rh 0.000 0.000 0.500 [4 per cell]
4 Rh 0.250 0.250 0.000 [8 per cell]
5 Rh 0.250 0.250 0.250 [8 per cell]

Calculated values
VASP energy   -20.54 eV/atom
Spin magnetization   0.000 μB/atom
D(E_F)   17.674 states/eV/cell
Theoretical density   7212 kg/m3

=====

(5)
First-principles (SCAN) data for Ca3B6Rh8 at its PBEsol-relaxed geometry, as listed in Alexandria via LeMat-Bulk.

Lattice parameters (Å, degrees): 5.467 9.661 16.903 90.00 90.00 90.00
Space group Fmmm (No. 69)
One atom of each set of equivalent atoms:
1 Ca 0.000 0.000 0.000 [4 per cell]
2 Ca 0.000 0.000 0.182 [8 per cell]
3 B 0.000 0.159 0.328 [16 per cell]
4 B 0.000 0.167 0.500 [8 per cell]
5 Rh 0.000 0.000 0.414 [8 per cell]
6 Rh 0.250 0.250 0.085 [16 per cell]
7 Rh 0.250 0.250 0.250 [8 per cell]

Calculated values
VASP energy   -20.96 eV/atom
Spin magnetization   0.000 μB/atom
D(E_F)   17.457 states/eV/cell
Theoretical density   7502 kg/m3

=====

(6)
First-principles (SCAN) data for CaB2Ru at its PBEsol-relaxed geometry, as listed in Alexandria via LeMat-Bulk.

Lattice parameters (Å, degrees): 4.430 4.430 13.141 90.00 90.00 90.00
Space group I4_1/amd (No. 141, origin choice 2)
One atom of each set of equivalent atoms:
1 Ca 0.000 0.250 0.375 [4 per cell]
2 B 0.000 0.000 0.000 [8 per cell]
3 Ru 0.000 0.250 0.875 [4 per cell]

Calculated values
VASP energy   -14.90 eV/atom
Spin magnetization   0.000 μB/atom
D(E_F)   3.990 states/eV/cell
Theoretical density   4192 kg/m3

=====

(7)
First-principles (SCAN) data for CaB2S4 at its PBEsol-relaxed geometry, as listed in Alexandria via LeMat-Bulk.

Lattice parameters (Å, degrees): 11.111 11.111 11.111 90.00 90.00 90.00
Space group Pa-3 (No. 205)
One atom of each set of equivalent atoms:
1 Ca 0.000 0.000 0.000 [4 per cell]
2 Ca 0.127 0.627 0.873 [8 per cell]
3 B 0.129 0.194 0.354 [24 per cell]
4 S 0.021 0.084 0.276 [24 per cell]
5 S 0.127 0.148 0.788 [24 per cell]

Calculated values
Spin magnetization   0.000 μB/atom
D(E_F)   0.000 states/eV/cell
Formation energy from raw total energies   -101.1 kJ per mole of atoms
Theoretical density   2760 kg/m3

=====

(8)
First-principles (SCAN) data for CaTc2BSb at its PBEsol-relaxed geometry, as listed in Alexandria via LeMat-Bulk.

Lattice parameters (Å, degrees): 4.202 4.202 4.597 90.00 90.00 90.00
Space group P4/mmm (No. 123)
One atom of each set of equivalent atoms:
1 Ca 0.000 0.000 0.000 [1 per cell]
2 Tc 0.000 0.500 0.500 [2 per cell]
3 B 0.000 0.000 0.500 [1 per cell]
4 Sb 0.500 0.500 0.000 [1 per cell]

Calculated values
Spin magnetization   0.000 μB/atom
D(E_F)   3.372 states/eV/cell
Formation energy from raw total energies   19.3 kJ per mole of atoms
Theoretical density   7543 kg/m3

=====

(9)
First-principles (SCAN) data for CaBSe2 at its PBEsol-relaxed geometry, as listed in Alexandria via LeMat-Bulk.

Lattice parameters (Å, degrees): 3.4317 3.4317 24.3645 90.00 90.00 120.00
Space group R-3m (No. 166, hexagonal axes)
One atom of each set of equivalent atoms:
1 Ca 0.0000 0.0000 0.0000 [3 per cell]
2 B 0.0000 0.0000 0.5000 [3 per cell]
3 Se 0.0000 0.0000 0.1158 [6 per cell]

Calculated values
Spin magnetization   0.002 μB/atom
D(E_F)   8.185 states/eV/cell
Formation energy from raw total energies   26.3 kJ per mole of atoms
Theoretical density   4186 kg/m3

=====

(10)
First-principles (SCAN) data for CaB3Se at its PBEsol-relaxed geometry, as listed in Alexandria via LeMat-Bulk.

Lattice parameters (Å, degrees): 4.701 4.701 4.701 90.00 90.00 90.00
Space group Pm-3m (No. 221)
One atom of each set of equivalent atoms:
1 Ca 0.000 0.000 0.000 [1 per cell]
2 B 0.000 0.000 0.500 [3 per cell]
3 Se 0.500 0.500 0.500 [1 per cell]

Calculated values
Spin magnetization   0.177 μB/atom
D(E_F)   3.098 states/eV/cell
Formation energy from raw total energies   264.8 kJ per mole of atoms
Theoretical density   2421 kg/m3

=====

(11)
First-principles (SCAN) data for CaBSe2 at its PBEsol-relaxed geometry, as listed in Alexandria via LeMat-Bulk.

Lattice parameters (Å, degrees): 6.208 6.208 8.621 90.00 90.00 90.00
Space group I-42d (No. 122)
One atom of each set of equivalent atoms:
1 Ca 0.000 0.000 0.000 [4 per cell]
2 B 0.000 0.000 0.500 [4 per cell]
3 Se 0.148 0.250 0.625 [8 per cell]

Calculated values
Spin magnetization   0.000 μB/atom
D(E_F)   10.241 states/eV/cell
Formation energy from raw total energies   -45.5 kJ per mole of atoms
Theoretical density   4174 kg/m3

=====

(12)
First-principles (SCAN) data for CaBSe2 at its PBEsol-relaxed geometry, as listed in Alexandria via LeMat-Bulk.

Lattice parameters (Å, degrees): 4.3436 4.3436 20.0566 90.00 90.00 120.00
Space group R-3m (No. 166, hexagonal axes)
One atom of each set of equivalent atoms:
1 Ca 0.0000 0.0000 0.0000 [3 per cell]
2 B 0.0000 0.0000 0.5000 [3 per cell]
3 Se 0.0000 0.0000 0.4076 [6 per cell]

Calculated values
Spin magnetization   0.246 μB/atom
D(E_F)   4.538 states/eV/cell
Formation energy from raw total energies   -48.3 kJ per mole of atoms
Theoretical density   3174 kg/m3

=====

(13)
First-principles (SCAN) data for Ca3BSe at its PBEsol-relaxed geometry, as listed in Alexandria via LeMat-Bulk.

Lattice parameters (Å, degrees): 5.065 5.065 5.065 90.00 90.00 90.00
Space group Pm-3m (No. 221)
One atom of each set of equivalent atoms:
1 Ca 0.000 0.000 0.500 [3 per cell]
2 B 0.000 0.000 0.000 [1 per cell]
3 Se 0.500 0.500 0.500 [1 per cell]

Calculated values
Spin magnetization   0.102 μB/atom
D(E_F)   3.238 states/eV/cell
Formation energy from raw total energies   -42.2 kJ per mole of atoms
Theoretical density   2684 kg/m3

=====

(14)
First-principles (SCAN) data for Ca2SiB at its PBEsol-relaxed geometry, as listed in Alexandria via LeMat-Bulk.

Lattice parameters (Å, degrees): 7.511 7.511 6.129 90.00 90.00 90.00
Space group I-42d (No. 122)
One atom of each set of equivalent atoms:
1 Ca 0.214 0.750 0.125 [8 per cell]
2 Si 0.000 0.000 0.500 [4 per cell]
3 B 0.000 0.000 0.000 [4 per cell]

Calculated values
Spin magnetization   0.000 μB/atom
D(E_F)   13.129 states/eV/cell
Formation energy from raw total energies   62.1 kJ per mole of atoms
Theoretical density   2287 kg/m3

=====

(15)
First-principles (SCAN) data for CaSiB2W at its PBEsol-relaxed geometry, as listed in Alexandria via LeMat-Bulk.

Lattice parameters (Å, degrees): 3.986 3.986 4.750 90.00 90.00 90.00
Space group P4/mmm (No. 123)
One atom of each set of equivalent atoms:
1 Ca 0.000 0.000 0.000 [1 per cell]
2 Si 0.000 0.000 0.500 [1 per cell]
3 B 0.000 0.500 0.000 [2 per cell]
4 W 0.500 0.500 0.500 [1 per cell]

Calculated values
Spin magnetization   0.426 μB/atom
D(E_F)   3.404 states/eV/cell
Formation energy from raw total energies   292.6 kJ per mole of atoms
Theoretical density   6022 kg/m3

=====

(16)
First-principles (SCAN) data for Ca2TaB at its PBEsol-relaxed geometry, as listed in Alexandria via LeMat-Bulk.

Lattice parameters (Å, degrees): 9.899 9.899 4.283 90.00 90.00 90.00
Space group I-42d (No. 122)
One atom of each set of equivalent atoms:
1 Ca 0.094 0.250 0.125 [8 per cell]
2 Ta 0.000 0.000 0.500 [4 per cell]
3 B 0.000 0.000 0.000 [4 per cell]

Calculated values
VASP energy   -22.59 eV/atom
Spin magnetization   0.326 μB/atom
D(E_F)   15.872 states/eV/cell
Theoretical density   4303 kg/m3

=====

(17)
First-principles (SCAN) data for CaTc3B at its PBEsol-relaxed geometry, as listed in Alexandria via LeMat-Bulk.

Lattice parameters (Å, degrees): 4.202 4.202 4.202 90.00 90.00 90.00
Space group Pm-3m (No. 221)
One atom of each set of equivalent atoms:
1 Ca 0.000 0.000 0.000 [1 per cell]
2 Tc 0.000 0.500 0.500 [3 per cell]
3 B 0.500 0.500 0.500 [1 per cell]

Calculated values
VASP energy   -24.06 eV/atom
Spin magnetization   0.329 μB/atom
D(E_F)   6.283 states/eV/cell
Theoretical density   7720 kg/m3

=====

(18)
First-principles (SCAN) data for CaTi3B at its PBEsol-relaxed geometry, as listed in Alexandria via LeMat-Bulk.

Lattice parameters (Å, degrees): 4.325 4.325 4.325 90.00 90.00 90.00
Space group Pm-3m (No. 221)
One atom of each set of equivalent atoms:
1 Ca 0.000 0.000 0.000 [1 per cell]
2 Ti 0.000 0.000 0.500 [3 per cell]
3 B 0.500 0.500 0.500 [1 per cell]

Calculated values
VASP energy   -10.56 eV/atom
Spin magnetization   0.388 μB/atom
D(E_F)   4.873 states/eV/cell
Theoretical density   3991 kg/m3

=====

(19)
First-principles (SCAN) data for CaTiB3 at its PBEsol-relaxed geometry, as listed in Alexandria via LeMat-Bulk.

Lattice parameters (Å, degrees): 4.189 4.189 4.189 90.00 90.00 90.00
Space group Pm-3m (No. 221)
One atom of each set of equivalent atoms:
1 Ca 0.000 0.000 0.000 [1 per cell]
2 Ti 0.500 0.500 0.500 [1 per cell]
3 B 0.000 0.500 0.500 [3 per cell]

Calculated values
VASP energy   -8.86 eV/atom
Spin magnetization   0.000 μB/atom
D(E_F)   2.963 states/eV/cell
Theoretical density   2719 kg/m3

=====

(20)
First-principles (SCAN) data for CaTl3B at its PBEsol-relaxed geometry, as listed in Alexandria via LeMat-Bulk.

Lattice parameters (Å, degrees): 4.990 4.990 4.990 90.00 90.00 90.00
Space group Pm-3m (No. 221)
One atom of each set of equivalent atoms:
1 Ca 0.000 0.000 0.000 [1 per cell]
2 Tl 0.000 0.500 0.500 [3 per cell]
3 B 0.500 0.500 0.500 [1 per cell]

Calculated values
VASP energy   -46.41 eV/atom
Spin magnetization   0.000 μB/atom
D(E_F)   2.850 states/eV/cell
Theoretical density   8873 kg/m3

=====

(21)
First-principles (SCAN) data for CaY2B at its PBEsol-relaxed geometry, as listed in Alexandria via LeMat-Bulk.

Lattice parameters (Å, degrees): 8.160 8.160 6.228 90.00 90.00 90.00
Space group I-42d (No. 122)
One atom of each set of equivalent atoms:
1 Ca 0.000 0.000 0.000 [4 per cell]
2 Y 0.157 0.250 0.625 [8 per cell]
3 B 0.000 0.000 0.500 [4 per cell]

Calculated values
VASP energy   -17.94 eV/atom
Spin magnetization   0.170 μB/atom
D(E_F)   11.961 states/eV/cell
Theoretical density   3663 kg/m3

=====

(22)
First-principles (SCAN) data for CaZrB2 at its PBEsol-relaxed geometry, as listed in Alexandria via LeMat-Bulk.

Lattice parameters (Å, degrees): 6.131 6.131 6.131 90.00 90.00 90.00
Space group Fm-3m (No. 225)
One atom of each set of equivalent atoms:
1 Ca 0.000 0.000 0.000 [4 per cell]
2 Zr 0.000 0.000 0.500 [4 per cell]
3 B 0.250 0.250 0.250 [8 per cell]

Calculated values
VASP energy   -13.31 eV/atom
Spin magnetization   0.000 μB/atom
D(E_F)   5.617 states/eV/cell
Theoretical density   4406 kg/m3